BeTc: relaxed, GGA-PBE.

abc: 2.8622 4.0027 4.0466
angles: 90.00 90.19 90.00
Positions (direct):
Be  0.9997  0.2500  0.1680
Be  0.0003  0.7500  0.8320
Tc  0.4979  0.2500  0.6795
Tc  0.5021  0.7500  0.3205

Summary:
Energy above the most stable polymorph in this dataset ... 168 meV/atom
DOS(E_F) ... 0.7279 states/eV/atom
VASP energy ... -7.116 eV/atom
DFT formation energy ... -70 meV per atom